! PrTm2ScBi4 | Alexandria via LeMat-Bulk | PBE-GGA | optimized geometry; values from VASP
! Energy of formation from the pure elements: -6.159 eV per formula unit
! Calculated density: 9.04 g/cm³
&SYSTEM
  ibrav = 0, nat = 8, ntyp = 4
/
ATOMIC_SPECIES
Pr 140.91 Pr.upf
Tm 168.93 Tm.upf
Sc 44.96 Sc.upf
Bi 208.98 Bi.upf
CELL_PARAMETERS angstrom
7.706 0.000 0.000
0.000 4.457 0.000
-2.575 0.000 7.273
ATOMIC_POSITIONS crystal
Pr 0.000 0.000 0.000
Tm 0.000 0.500 0.500
Tm 0.500 0.000 0.500
Sc 0.500 0.500 0.000
Bi 0.262 0.000 0.752
Bi 0.263 0.500 0.256
Bi 0.737 0.500 0.744
Bi 0.738 0.000 0.248

! Pr2TmScBi4 | Alexandria via LeMat-Bulk | PBE-GGA | optimized geometry; values from VASP
! Energy of formation from the pure elements: -6.609 eV per formula unit
! Calculated density: 8.57 g/cm³
&SYSTEM
  ibrav = 0, nat = 8, ntyp = 4
/
ATOMIC_SPECIES
Pr 140.91 Pr.upf
Tm 168.93 Tm.upf
Sc 44.96 Sc.upf
Bi 208.98 Bi.upf
CELL_PARAMETERS angstrom
7.771 0.000 0.000
0.000 4.510 0.000
-2.614 0.000 7.358
ATOMIC_POSITIONS crystal
Pr 0.000 0.000 0.000
Pr 0.000 0.500 0.500
Tm 0.500 0.000 0.500
Sc 0.500 0.500 0.000
Bi 0.268 0.500 0.251
Bi 0.271 0.000 0.762
Bi 0.729 0.000 0.238
Bi 0.732 0.500 0.749

! PrY2ScBi4 | Alexandria via LeMat-Bulk | PBE-GGA | optimized geometry; values from VASP
! Energy of formation from the pure elements: -6.623 eV per formula unit
! Calculated density: 7.84 g/cm³
&SYSTEM
  ibrav = 0, nat = 8, ntyp = 4
/
ATOMIC_SPECIES
Pr 140.91 Pr.upf
Y 88.91 Y.upf
Sc 44.96 Sc.upf
Bi 208.98 Bi.upf
CELL_PARAMETERS angstrom
7.747 0.000 0.000
0.000 4.481 0.000
-2.590 0.000 7.315
ATOMIC_POSITIONS crystal
Pr 0.000 0.000 0.000
Y 0.000 0.500 0.500
Y 0.500 0.000 0.500
Sc 0.500 0.500 0.000
Bi 0.262 0.500 0.252
Bi 0.263 0.000 0.756
Bi 0.737 0.000 0.244
Bi 0.738 0.500 0.748

! Pr2YScBi4 | Alexandria via LeMat-Bulk | PBE-GGA | optimized geometry; values from VASP
! Energy of formation from the pure elements: -6.824 eV per formula unit
! Calculated density: 7.99 g/cm³
&SYSTEM
  ibrav = 0, nat = 8, ntyp = 4
/
ATOMIC_SPECIES
Pr 140.91 Pr.upf
Y 88.91 Y.upf
Sc 44.96 Sc.upf
Bi 208.98 Bi.upf
CELL_PARAMETERS angstrom
7.797 0.000 0.000
0.000 4.522 0.000
-2.620 0.000 7.377
ATOMIC_POSITIONS crystal
Pr 0.000 0.000 0.000
Pr 0.000 0.500 0.500
Y 0.500 0.000 0.500
Sc 0.500 0.500 0.000
Bi 0.265 0.500 0.248
Bi 0.270 0.000 0.763
Bi 0.730 0.000 0.237
Bi 0.735 0.500 0.752

! PrYSc2Bi4 | Alexandria via LeMat-Bulk | PBE-GGA | optimized geometry; values from VASP
! Energy of formation from the pure elements: -6.248 eV per formula unit
! Calculated density: 7.87 g/cm³
&SYSTEM
  ibrav = 0, nat = 8, ntyp = 4
/
ATOMIC_SPECIES
Pr 140.91 Pr.upf
Y 88.91 Y.upf
Sc 44.96 Sc.upf
Bi 208.98 Bi.upf
CELL_PARAMETERS angstrom
7.638 0.000 0.000
0.000 4.425 0.000
-2.562 0.000 7.218
ATOMIC_POSITIONS crystal
Pr 0.000 0.000 0.000
Y 0.000 0.500 0.500
Sc 0.500 0.000 0.500
Sc 0.500 0.500 0.000
Bi 0.269 0.000 0.751
Bi 0.272 0.500 0.262
Bi 0.728 0.500 0.738
Bi 0.731 0.000 0.249

! Pr3BiSe2 | Alexandria via LeMat-Bulk | PBE-GGA | optimized geometry; values from VASP
! Calculated density: 7.27 g/cm³
! Energy relative to the elements, uncorrected: -1522 meV per atom
! Offset from the most stable computed form: 0 meV per atom
&SYSTEM
  ibrav = 0, nat = 12, ntyp = 3
/
ATOMIC_SPECIES
Pr 140.91 Pr.upf
Bi 208.98 Bi.upf
Se 78.96 Se.upf
CELL_PARAMETERS angstrom
3.796 -6.581 0.000
3.796 6.581 0.000
-2.536 0.000 7.224
ATOMIC_POSITIONS crystal
Pr 0.000 0.500 0.000
Pr 0.138 0.319 0.496
Pr 0.319 0.138 0.996
Pr 0.500 0.000 0.500
Pr 0.681 0.862 0.004
Pr 0.862 0.681 0.504
Bi 0.423 0.577 0.250
Bi 0.577 0.423 0.750
Se 0.084 0.916 0.250
Se 0.257 0.743 0.750
Se 0.743 0.257 0.250
Se 0.916 0.084 0.750